Entry from the Alexandria database: a relaxed structure of NaNi4Sb12 (PBE).

Cell and atoms, written as CIF:
```
data_NaNi4Sb12
_chemical_formula_sum 'Na2 Ni8 Sb24'
_cell_length_a 9.301
_cell_length_b 9.301
_cell_length_c 9.301
_cell_angle_alpha 90.00
_cell_angle_beta 90.00
_cell_angle_gamma 90.00
_symmetry_space_group_name_H-M 'I m -3'
_symmetry_Int_Tables_number 204
_symmetry_space_group_name_Hall '-I 2 2 3'
loop_
_atom_site_label
_atom_site_type_symbol
_atom_site_fract_x
_atom_site_fract_y
_atom_site_fract_z
Na1 Na 0.000 0.000 0.000
Ni1 Ni 0.250 0.250 0.250
Sb1 Sb 0.000 0.337 0.160
```

Calculated values
Its formation energy without anion corrections is -0.174 eV/atom. The total energy comes out at -153.7 eV per cell.